The following is a DFT calculation (PBE) of an optimized crystal structure of Pa2CoAs.

Calculated values
- total magnetic moment (μB per atom) = 0.00
- polymorph energy (0 for the lowest one) (eV/atom) = 0.7791
- energy of formation from the pure elements (eV/f.u.) = 0.52
- space-group type = R-3m, No. 166

a b c (Å): 3.225 3.225 9.494
angles (deg): 80.22 80.22 60.00
Fractional positions:
As: 0.500 0.500 0.500
Pa: 0.916 0.916 0.252
Pa: 0.084 0.084 0.748
Co: 0.000 0.000 0.000